Record 1
VASP calculation (PBE-GGA) on crystalline As2IrOs at its relaxed geometry.

Results
Magnetization in μB/f.u.: 0.0
E in eV/atom: -6.62
Crystal system: cubic

abc: 4.483 4.483 4.483
angles: 60.00 60.00 60.00
Atoms (fractional coordinates):
As (0.000, 0.000, 0.000)
As (0.250, 0.250, 0.250)
Ir (0.500, 0.500, 0.500)
Os (0.750, 0.750, 0.750)


Record 2
VASP calculation (PBE-GGA) on crystalline AsPIr at its relaxed geometry.

Results
Magnetization in μB/f.u.: 0.0
E in eV/atom: -6.85
Crystal system: monoclinic

abc: 5.955 5.993 6.085
angles: 90.00 112.65 90.00
Atoms (fractional coordinates):
As (0.832, 0.375, 0.191)
As (0.168, 0.875, 0.309)
As (0.832, 0.125, 0.691)
As (0.168, 0.625, 0.809)
Ir (0.239, 0.491, 0.211)
Ir (0.761, 0.991, 0.289)
Ir (0.239, 0.009, 0.711)
Ir (0.761, 0.509, 0.789)
P (0.347, 0.125, 0.121)
P (0.653, 0.625, 0.379)
P (0.347, 0.375, 0.621)
P (0.653, 0.875, 0.879)


Record 3
VASP calculation (PBE-GGA) on crystalline RbAsPIr2 at its relaxed geometry.

Results
Magnetization in μB/f.u.: 0.0
E in eV/atom: -6.30
Crystal system: tetragonal

abc: 7.544 7.544 7.544
angles: 149.20 149.20 44.12
Atoms (fractional coordinates):
As (0.349, 0.349, 0.000)
Ir (0.745, 0.245, 0.500)
Ir (0.245, 0.745, 0.500)
P (0.657, 0.657, 0.000)
Rb (0.004, 0.004, 0.000)


Record 4
VASP calculation (PBE-GGA) on crystalline PaAsIr at its relaxed geometry.

Results
Magnetization in μB/f.u.: 0.0
E in eV/atom: -8.63
Crystal system: trigonal

abc: 4.276 4.276 3.734
angles: 90.00 90.00 120.00
Atoms (fractional coordinates):
As (0.000, 0.000, 0.132)
Ir (0.333, 0.667, 0.210)
Pa (0.667, 0.333, 0.658)